No. 1
Below is a relaxed La6Ge3S2Br crystal, with properties calculated at the GGA-PBE level.

Geometry as POSCAR:
```
La6Ge3S2Br
1.0
9.4183 -2.1870 0.0000
9.4183 2.1870 0.0000
-1.7997 0.0000 8.4661
La Ge S Br
6 3 2 1
direct
0.0018 0.0018 0.2664 La
0.3268 0.3268 0.9122 La
0.3330 0.3330 0.4157 La
0.6670 0.6670 0.5843 La
0.6732 0.6732 0.0878 La
0.9982 0.9982 0.7336 La
0.1635 0.1635 0.8341 Ge
0.5000 0.5000 0.5000 Ge
0.8365 0.8365 0.1659 Ge
0.1676 0.1676 0.3343 S
0.8324 0.8324 0.6657 S
0.5000 0.5000 0.0000 Br
```

Energy relative to the elements, uncorrected in meV per atom: -1413
Volume in Å³ per cell: 349
Calculated total energy in eV/atom: -5.8579
Space-group type: C2/m, No. 12

---

No. 2
Below is a relaxed PbSeF2 crystal, with properties calculated at the GGA-PBE level.

Geometry as POSCAR:
```
PbSeF2
1.0
1.6530 0.9544 8.1942
-1.6530 0.9544 8.1942
0.0000 -1.9087 8.1942
Pb Se F
1 1 2
direct
0.0000 0.0000 0.0000 Pb
0.5000 0.5000 0.5000 Se
0.4178 0.4178 0.4178 F
0.5821 0.5821 0.5821 F
```

Energy relative to the elements, uncorrected in meV per atom: -1062
Volume in Å³ per cell: 78
Calculated total energy in eV/atom: -3.7957
Space-group type: R-3m, No. 166
E above lowest polymorph in meV per atom: 111

---

No. 3
Below is a relaxed Mg6SiPd12 crystal, with properties calculated at the GGA-PBE level.

Geometry as POSCAR:
```
Mg6SiPd12
1.0
4.9186 2.8397 3.6929
-4.9186 2.8397 3.6929
0.0000 -5.6795 3.6929
Mg Si Pd
6 1 12
direct
0.1929 0.7705 0.3735 Mg
0.2295 0.6265 0.8071 Mg
0.3735 0.1929 0.7705 Mg
0.6265 0.8071 0.2295 Mg
0.7705 0.3735 0.1929 Mg
0.8071 0.2295 0.6265 Mg
0.5000 0.5000 0.5000 Si
0.0438 0.9465 0.7070 Pd
0.0535 0.2930 0.9562 Pd
0.1558 0.3779 0.4802 Pd
0.2930 0.9562 0.0535 Pd
0.3779 0.4802 0.1558 Pd
0.4802 0.1558 0.3779 Pd
0.5198 0.8442 0.6221 Pd
0.6221 0.5198 0.8442 Pd
0.7070 0.0438 0.9465 Pd
0.8442 0.6221 0.5198 Pd
0.9465 0.7070 0.0438 Pd
0.9562 0.0535 0.2930 Pd
```

Energy relative to the elements, uncorrected in meV per atom: -510
Volume in Å³ per cell: 309
Calculated total energy in eV/atom: -4.5788
Space-group type: R-3, No. 148

---

In the order shown, the computed density values come out to 5.69, 6.94, 7.79 g/cm3.